1.
The following is a PBEsol calculation of crystalline Sr3Al at its relaxed geometry, from Alexandria.

Cell and atoms, written as POSCAR:
```
Sr3Al
1.0
5.863 0.000 0.000
0.000 6.626 0.000
0.000 0.000 7.593
Sr Al
6 2
Direct
0.500 0.164 0.249
0.500 0.618 0.000
0.500 0.164 0.751
0.000 0.836 0.251
0.000 0.836 0.749
0.000 0.382 0.500
0.500 0.699 0.500
0.000 0.301 0.000
```

DFT formation energy	28	meV/atom
mass density	3.26	g cm⁻³
total magnetic moment	0.0001	μB per atom
calculated total energy	-2.375	eV per atom
space-group type	No. 59

=====

2.
The following is a PBEsol calculation of crystalline YSc2Tl at its relaxed geometry, from Alexandria.

Cell and atoms, written as POSCAR:
```
YSc2Tl
1.0
-2.933 -1.054 1.452
-1.380 -0.453 -3.116
2.803 -7.922 -0.090
Y Sc Tl
1 2 1
Direct
0.500 0.500 0.742
0.500 0.500 0.259
0.000 0.000 0.016
0.000 0.000 0.483
```

DFT formation energy	-189	meV/atom
mass density	6.40	g cm⁻³
total magnetic moment	0.0007	μB per atom
calculated total energy	-5.855	eV per atom
space-group type	No. 99

=====

3.
The following is a PBEsol calculation of crystalline TlTePtN2 at its relaxed geometry, from Alexandria.

Cell and atoms, written as POSCAR:
```
TlTePtN2
1.0
-2.805 2.117 -2.055
-2.683 -3.011 0.559
-1.691 2.394 4.775
Pt Tl Te N
1 1 1 2
Direct
0.000 0.000 0.000
0.500 0.500 0.500
0.000 0.000 0.500
0.500 0.000 0.000
0.000 0.500 0.000
```

mass density	9.92	g cm⁻³
total magnetic moment	0.5761	μB per atom
calculated total energy	-4.882	eV per atom
formation energy from raw total energies	1.152	eV/atom
space-group type	No. 123